Entry 1:
ScCoSi2Ir: optimized geometry, PBE-GGA.

Lattice parameters (Å, degrees): 3.900 3.900 9.778 90.00 90.00 90.00
Fractional positions:
Sc  0.000  0.000  0.000
Sc  0.500  0.500  0.500
Co  0.000  0.500  0.250
Co  0.500  0.000  0.750
Si  0.000  0.000  0.380
Si  0.000  0.000  0.620
Si  0.500  0.500  0.120
Si  0.500  0.500  0.880
Ir  0.000  0.500  0.750
Ir  0.500  0.000  0.250

Output
As for the crystal system: tetragonal. The total DFT energy (no corrections) comes out at -7.507 eV/atom. The formation energy (no corrections) comes out at -4.39 eV per formula unit.

***

Entry 2:
ScCoSiIr2: optimized geometry, PBE-GGA.

Lattice parameters (Å, degrees): 4.659 4.659 4.818 90.00 90.00 90.00
Fractional positions:
Sc  0.000  0.000  0.000
Co  0.500  0.500  0.500
Si  0.000  0.000  0.500
Ir  0.000  0.500  0.000
Ir  0.500  0.000  0.000

Output
As for the crystal system: tetragonal. The total DFT energy (no corrections) comes out at -5.668 eV/atom. The formation energy (no corrections) comes out at 8.24 eV per formula unit.

***

Entry 3:
ScTaCoIr: optimized geometry, PBE-GGA.

Lattice parameters (Å, degrees): 6.331 6.331 6.331 90.00 90.00 90.00
Fractional positions:
Sc  0.000  0.000  0.000
Sc  0.000  0.500  0.500
Sc  0.500  0.000  0.500
Sc  0.500  0.500  0.000
Ta  0.000  0.000  0.500
Ta  0.000  0.500  0.000
Ta  0.500  0.000  0.000
Ta  0.500  0.500  0.500
Co  0.250  0.250  0.750
Co  0.250  0.750  0.250
Co  0.750  0.250  0.250
Co  0.750  0.750  0.750
Ir  0.250  0.250  0.250
Ir  0.250  0.750  0.750
Ir  0.750  0.250  0.750
Ir  0.750  0.750  0.250

Output
As for the crystal system: cubic. The total DFT energy (no corrections) comes out at -9.029 eV/atom.

***

Entry 4:
TbScCoIr: optimized geometry, PBE-GGA.

Lattice parameters (Å, degrees): 6.606 6.606 6.606 90.00 90.00 90.00
Fractional positions:
Tb  0.000  0.000  0.000
Tb  0.000  0.500  0.500
Tb  0.500  0.000  0.500
Tb  0.500  0.500  0.000
Sc  0.000  0.000  0.500
Sc  0.000  0.500  0.000
Sc  0.500  0.000  0.000
Sc  0.500  0.500  0.500
Co  0.250  0.250  0.250
Co  0.250  0.750  0.750
Co  0.750  0.250  0.750
Co  0.750  0.750  0.250
Ir  0.250  0.250  0.750
Ir  0.250  0.750  0.250
Ir  0.750  0.250  0.250
Ir  0.750  0.750  0.750

Output
As for the crystal system: cubic. The total DFT energy (no corrections) comes out at -7.289 eV/atom.

***

Entry 5:
ThScCoIr: optimized geometry, PBE-GGA.

Lattice parameters (Å, degrees): 6.772 6.772 6.772 90.00 90.00 90.00
Fractional positions:
Th  0.000  0.000  0.000
Th  0.000  0.500  0.500
Th  0.500  0.000  0.500
Th  0.500  0.500  0.000
Sc  0.000  0.000  0.500
Sc  0.000  0.500  0.000
Sc  0.500  0.000  0.000
Sc  0.500  0.500  0.500
Co  0.250  0.250  0.250
Co  0.250  0.750  0.750
Co  0.750  0.250  0.750
Co  0.750  0.750  0.250
Ir  0.250  0.250  0.750
Ir  0.250  0.750  0.250
Ir  0.750  0.250  0.250
Ir  0.750  0.750  0.750

Output
As for the crystal system: cubic. The total DFT energy (no corrections) comes out at -7.938 eV/atom.

***

Entry 6:
YScCoIr: optimized geometry, PBE-GGA.

Lattice parameters (Å, degrees): 6.602 6.602 6.602 90.00 90.00 90.00
Fractional positions:
Y  0.000  0.000  0.000
Y  0.000  0.500  0.500
Y  0.500  0.000  0.500
Y  0.500  0.500  0.000
Sc  0.000  0.000  0.500
Sc  0.000  0.500  0.000
Sc  0.500  0.000  0.000
Sc  0.500  0.500  0.500
Co  0.250  0.250  0.750
Co  0.250  0.750  0.250
Co  0.750  0.250  0.250
Co  0.750  0.750  0.750
Ir  0.250  0.250  0.250
Ir  0.250  0.750  0.750
Ir  0.750  0.250  0.750
Ir  0.750  0.750  0.250

Output
As for the crystal system: cubic. The total DFT energy (no corrections) comes out at -7.747 eV/atom.

***

Entry 7:
Sc4ZnCoIr2: optimized geometry, PBE-GGA.

Lattice parameters (Å, degrees): 7.911 7.911 7.911 33.58 33.58 33.58
Fractional positions:
Sc  0.121  0.121  0.121
Sc  0.372  0.372  0.372
Sc  0.628  0.628  0.628
Sc  0.879  0.879  0.879
Zn  0.500  0.500  0.500
Co  0.000  0.000  0.000
Ir  0.249  0.249  0.249
Ir  0.751  0.751  0.751

Output
As for the crystal system: trigonal. The total DFT energy (no corrections) comes out at -7.155 eV/atom.

***

Entry 8:
CoIrSe: optimized geometry, PBE-GGA.

Lattice parameters (Å, degrees): 2.947 3.683 7.963 90.00 90.00 90.00
Fractional positions:
Co  0.000  0.000  0.000
Co  0.500  0.500  0.500
Ir  0.000  0.000  0.657
Ir  0.500  0.500  0.157
Se  0.000  0.000  0.330
Se  0.500  0.500  0.830

Output
As for the crystal system: orthorhombic. The total DFT energy (no corrections) comes out at -6.036 eV/atom. The formation energy (no corrections) comes out at 1.34 eV per formula unit.

***

Entry 9:
Co3IrSe8: optimized geometry, PBE-GGA.

Lattice parameters (Å, degrees): 6.309 6.309 8.048 122.22 122.22 68.62
Fractional positions:
Co  0.000  0.000  0.000
Co  0.000  0.500  0.500
Co  0.500  0.000  0.500
Ir  0.500  0.500  0.000
Se  0.031  0.550  0.828
Se  0.050  0.050  0.335
Se  0.449  0.449  0.653
Se  0.450  0.969  0.172
Se  0.550  0.031  0.828
Se  0.551  0.551  0.347
Se  0.950  0.950  0.665
Se  0.969  0.450  0.172

Output
As for the crystal system: monoclinic. The total DFT energy (no corrections) comes out at -5.102 eV/atom. The formation energy (no corrections) comes out at -3.17 eV per formula unit.

***

Entry 10:
CoIrSe: optimized geometry, PBE-GGA.

Lattice parameters (Å, degrees): 3.851 3.851 3.400 90.00 90.00 120.00
Fractional positions:
Co  0.000  0.000  0.000
Ir  0.667  0.333  0.488
Se  0.333  0.667  0.800

Output
As for the crystal system: trigonal. The total DFT energy (no corrections) comes out at -6.122 eV/atom. The formation energy (no corrections) comes out at 1.08 eV per formula unit.

***

Entry 11:
Co2IrSe6: optimized geometry, PBE-GGA.

Lattice parameters (Å, degrees): 7.874 7.874 6.286 103.78 103.78 97.36
Fractional positions:
Co  0.041  0.219  0.217
Co  0.219  0.041  0.717
Co  0.781  0.959  0.283
Co  0.959  0.781  0.783
Ir  0.407  0.593  0.750
Ir  0.593  0.407  0.250
Se  0.007  0.196  0.559
Se  0.126  0.565  0.836
Se  0.196  0.007  0.059
Se  0.293  0.447  0.327
Se  0.435  0.874  0.664
Se  0.447  0.293  0.827
Se  0.553  0.707  0.173
Se  0.565  0.126  0.336
Se  0.707  0.553  0.673
Se  0.804  0.993  0.941
Se  0.874  0.435  0.164
Se  0.993  0.804  0.441

Output
As for the crystal system: monoclinic. The total DFT energy (no corrections) comes out at -5.045 eV/atom. The formation energy (no corrections) comes out at -1.43 eV per formula unit.

***

Entry 12:
CoIrSe: optimized geometry, PBE-GGA.

Lattice parameters (Å, degrees): 2.764 4.808 13.899 90.00 90.00 90.00
Fractional positions:
Co  0.000  0.000  0.000
Co  0.000  0.500  0.500
Co  0.500  0.000  0.500
Co  0.500  0.500  0.000
Ir  0.000  0.000  0.353
Ir  0.000  0.500  0.853
Ir  0.500  0.000  0.853
Ir  0.500  0.500  0.353
Se  0.000  0.000  0.649
Se  0.000  0.500  0.149
Se  0.500  0.000  0.149
Se  0.500  0.500  0.649

Output
As for the crystal system: orthorhombic. The total DFT energy (no corrections) comes out at -5.944 eV/atom. The formation energy (no corrections) comes out at 1.62 eV per formula unit.

***

What did the eighth record say?
CoIrSe: optimized geometry, PBE-GGA.

Lattice parameters (Å, degrees): 2.947 3.683 7.963 90.00 90.00 90.00
Fractional positions:
Co  0.000  0.000  0.000
Co  0.500  0.500  0.500
Ir  0.000  0.000  0.657
Ir  0.500  0.500  0.157
Se  0.000  0.000  0.330
Se  0.500  0.500  0.830

Output
As for the crystal system: orthorhombic. The total DFT energy (no corrections) comes out at -6.036 eV/atom. The formation energy (no corrections) comes out at 1.34 eV per formula unit.

***

Question: What is the total DFT energy (no corrections) in the eleventh record?
Answer: -5.045 eV/atom

***

Question: Which of these has the lowest total DFT energy (no corrections)?
Answer: ScTaCoIr

***

Question: Which of these has the highest total DFT energy (no corrections)?
Answer: Co2IrSe6